Below is a geometry-optimized V3ReOs structure, with properties calculated at the PBE level.

Cell and atoms, written as POSCAR:
```
V3ReOs
1.0
-5.378 1.816 -3.380
-4.011 -3.383 4.578
-1.509 4.681 4.931
Os V Re
4 12 4
Direct
0.748 0.334 0.149
0.248 0.149 0.334
0.752 0.851 0.666
0.252 0.666 0.851
0.447 0.044 0.686
0.999 0.384 0.382
0.553 0.686 0.048
0.947 0.686 0.044
0.553 0.956 0.314
0.447 0.314 0.952
0.499 0.382 0.384
0.053 0.314 0.956
0.001 0.616 0.618
0.053 0.048 0.686
0.947 0.952 0.314
0.501 0.618 0.616
0.750 0.324 0.676
0.250 0.995 0.005
0.750 0.005 0.995
0.250 0.676 0.324
```

Values from the calculation:
calculated formation energy	0.30	eV per atom
density	11.375	g cm⁻³
density of states at the Fermi level	1.14	states/eV/atom
total moment	0.00	μB/cell
E above lowest polymorph	0.3390	eV/atom